A relaxed structure of Sc2SbP. Source: the Alexandria database, functional PBE.

The structure in CIF format:
```
data_Sc2SbP
_chemical_formula_sum 'Sc4 Sb2 P2'
_cell_length_a 4.014
_cell_length_b 5.600
_cell_length_c 7.559
_cell_angle_alpha 90.00
_cell_angle_beta 90.00
_cell_angle_gamma 90.00
_space_group_name_H-M_alt 'I m m m'
_space_group_IT_number 71
_space_group_name_Hall '-I 2 2'
loop_
_atom_site_label
_atom_site_type_symbol
_atom_site_fract_x
_atom_site_fract_y
_atom_site_fract_z
Sc1 Sc 0.000 0.000 0.226
Sb1 Sb 0.000 0.500 0.000
P1 P 0.000 0.500 0.500
```

Results
- Size of the total moment: 0.00 μB per cell
- Formation energy from raw total energies: -3.4 eV per formula unit
- Calculated volume: 169.9 Å³/cell
- VASP energy: -51.1 eV/cell